## Na2SiSnSe5 (PBE)

Data for a geometry-optimized Na2SiSnSe5 structure.

raw formation energy	-14.54	kcal/mol of atoms
calculated volume	958	Å³ per cell
DOS(E_F)	0.19	states/eV/atom

abc: 3.7831 19.5345 12.9640
angles: 90.00 90.00 90.00
Closest atoms and distances in Å follow each position.
Space group Cmc2_1 (No. 36)
Symmetry-distinct sites (fractional):
Na: 0.0000 0.1054 0.0000  4 Se 3.00-3.04
Na: 0.0000 0.1080 0.3383  4 Se 2.97-3.04
Si: 0.0000 0.4341 0.1045  4 Se 2.22-2.40
Sn: 0.0000 0.2312 0.7193  3 Se 2.53-2.66
Se: 0.0000 0.0420 0.7123  2 Si 2.40
Se: 0.0000 0.2831 0.3616  2 Sn 2.66
Se: 0.0000 0.3164 0.0730  1 Si 2.33
Se: 0.0000 0.3566 0.6701  1 Sn 2.53
Se: 0.0000 0.4872 0.9535  1 Si 2.22